The following is a GGA-PBE calculation of a relaxed structure of Cs4RbCd3F12, from Alexandria via LeMat-Bulk.

Geometry as POSCAR:
```
Cs4RbCd3F12
1.0
-4.693 4.693 4.693
4.693 -4.693 4.693
4.693 4.693 -4.693
Cs Rb Cd F
4 1 3 12
Direct
0.000 0.000 0.500
0.000 0.500 0.000
0.500 0.000 0.000
0.500 0.500 0.500
0.000 0.000 0.000
0.000 0.500 0.500
0.500 0.000 0.500
0.500 0.500 0.000
0.000 0.276 0.276
0.000 0.724 0.724
0.250 0.500 0.750
0.250 0.750 0.500
0.276 0.000 0.276
0.276 0.276 0.000
0.500 0.250 0.750
0.500 0.750 0.250
0.724 0.000 0.724
0.724 0.724 0.000
0.750 0.250 0.500
0.750 0.500 0.250
```

For the uncorrected formation energy, the calculation gives -2.3966 eV per atom. As for the total magnetic moment: 0.0401 μB/atom.


The following is a GGA-PBE calculation of a relaxed structure of CsRb2CdF, from Alexandria via LeMat-Bulk.

Geometry as POSCAR:
```
CsRb2CdF
1.0
5.856 0.000 0.000
0.000 5.856 0.000
0.000 0.000 6.143
Cs Rb Cd F
1 2 1 1
Direct
0.000 0.000 0.000
0.000 0.500 0.500
0.500 0.000 0.500
0.500 0.500 0.000
0.000 0.000 0.500
```

For the uncorrected formation energy, the calculation gives -1.0162 eV per atom. As for the total magnetic moment: 0.0000 μB/atom.


Number 1 is which compound?
Cs4RbCd3F12


Please write out number 2 again, unchanged.
The following is a GGA-PBE calculation of a relaxed structure of CsRb2CdF, from Alexandria via LeMat-Bulk.

Geometry as POSCAR:
```
CsRb2CdF
1.0
5.856 0.000 0.000
0.000 5.856 0.000
0.000 0.000 6.143
Cs Rb Cd F
1 2 1 1
Direct
0.000 0.000 0.000
0.000 0.500 0.500
0.500 0.000 0.500
0.500 0.500 0.000
0.000 0.000 0.500
```

For the uncorrected formation energy, the calculation gives -1.0162 eV per atom. As for the total magnetic moment: 0.0000 μB/atom.


What is the total magnetic moment in the first record?
0.0401 μB/atom